SmNi4Sn2 (GGA-PBE, optimized geometry); symmetry = I4/mcm; ΔE_f = -0.4127 eV/atom; energy = -5.53 eV per atom
1.0
-2.3792 2.9794 5.5406
-2.1265 3.5443 -5.3058
-2.2160 -6.3387 -0.3818
Sm Ni Sn
2 8 4
direct
0.7500 0.7500 0.0000
0.2500 0.2500 0.0000
0.5264 0.3042 0.5000
0.6958 0.1958 0.2223
0.3042 0.8042 0.7777
0.1958 0.9736 0.5000
0.0264 0.5264 0.2223
0.4736 0.6958 0.5000
0.9736 0.4736 0.7777
0.8042 0.0264 0.5000
0.8403 0.6597 0.5000
0.6597 0.1597 0.8194
0.3403 0.8403 0.1806
0.1597 0.3403 0.5000

=====

Ac6Pm3Dy2 (GGA-PBE, optimized geometry); symmetry = P-1; ΔE_f = 0.0500 eV/atom; energy = -4.32 eV per atom
1.0
1.5796 -7.5677 3.6375
3.1352 -1.1246 -5.7071
13.0014 -8.8287 -0.0373
Ac Pm Dy
6 3 2
direct
0.6353 0.0871 0.7345
0.3647 0.9129 0.2655
0.0846 0.7353 0.8191
0.7182 0.8141 0.5493
0.9154 0.2647 0.1809
0.2818 0.1859 0.4507
0.8299 0.5511 0.3557
0.0000 0.0000 0.0000
0.1701 0.4489 0.6443
0.4604 0.6462 0.0865
0.5396 0.3538 0.9135

=====

CdTeCl6 (GGA-PBE, optimized geometry); symmetry = C2/m; E_form (uncorrected) = -722 meV per atom; energy = -2.61 eV per atom
1.0
6.5319 0.2355 0.0000
1.8287 6.2775 0.0000
0.9143 3.1388 6.2139
Cl Cd Te
6 1 1
direct
0.7469 0.1107 0.2868
0.2531 0.8893 0.7132
0.2616 0.2604 0.0000
0.7469 0.3975 0.7132
0.7384 0.7396 0.0000
0.2531 0.6025 0.2868
0.0000 0.0000 0.0000
0.5000 0.5000 0.0000

=====

no.,magnetization (μB per formula unit),density of states at the Fermi level (states/eV/cell)
1,0.00,9.05
2,0.00,17.97
3,0.00,0.00